(1)
Computed, not measured: MnInH3 after structural relaxation at the GGA-PBE level of DFT.

density: 4.48 g cm⁻³
relative energy among the computed polymorphs: 525 meV/atom

a b c (Å): 4.0008 4.0008 4.0008
angles (deg): 90.00 90.00 90.00
Closest atoms and distances in Å follow each position.
Sites, in units of the cell vectors:
Mn (0.0000, 0.0000, 0.0000)  12 H 2.83
In (0.5000, 0.5000, 0.5000)  6 H 2.00
H (0.0000, 0.5000, 0.5000)  2 In 2.00
H (0.5000, 0.0000, 0.5000)  2 In 2.00
H (0.5000, 0.5000, 0.0000)  2 In 2.00

(2)
Computed, not measured: NiHS after structural relaxation at the GGA-PBE level of DFT.

density: 4.60 g cm⁻³
E_tot: -4.58 eV/atom

a b c (Å): 6.0795 6.0795 3.5999
angles (deg): 106.12 106.12 31.34
Closest atoms and distances in Å follow each position.
Sites, in units of the cell vectors:
Ni (0.0000, 0.0000, 0.0000)  2 H 1.78-1.83
Ni (0.1622, 0.1622, 0.6505)  1 H 1.65
H (0.0148, 0.0148, 0.5202)  3 Ni 1.65-1.83
H (0.3578, 0.3578, 0.2855)  1 S 1.36
S (0.3640, 0.3640, 0.9150)  1 H 1.36
S (0.6433, 0.6433, 0.1356)  6 Ni 2.30-2.45

(3)
Computed, not measured: LiSi2Tc after structural relaxation at the GGA-PBE level of DFT.

density: 5.12 g cm⁻³
raw formation energy: -0.077 eV per atom
relative energy among the computed polymorphs: 221 meV/atom

a b c (Å): 4.5034 4.5034 2.7447
angles (deg): 90.12 90.12 110.27
Closest atoms and distances in Å follow each position.
Sites, in units of the cell vectors:
Li (0.0000, 0.0000, 0.0000)  2 Tc 2.57, 8 Si 2.63-2.64, 2 Li 2.74
Si (0.0000, 0.5000, 0.5000)  4 Si 2.57-2.74, 4 Tc 2.63-2.64, 4 Li 2.63-2.64
Si (0.5000, 0.0000, 0.5000)  4 Si 2.57-2.74, 4 Li 2.63-2.64, 4 Tc 2.63-2.64
Tc (0.5000, 0.5000, 0.0000)  2 Li 2.57, 8 Si 2.63-2.64, 2 Tc 2.74

(4)
Computed, not measured: BaCu3Ir after structural relaxation at the GGA-PBE level of DFT.

density: 7.69 g cm⁻³
E_form: 0.26 eV/atom
relative energy among the computed polymorphs: 219 meV/atom

a b c (Å): 4.8247 4.8247 4.8247
angles (deg): 90.00 90.00 90.00
Closest atoms and distances in Å follow each position.
Sites, in units of the cell vectors:
Ba (0.0000, 0.0000, 0.0000)  12 Cu 3.41
Cu (0.0000, 0.5000, 0.5000)  2 Ir 2.41
Cu (0.5000, 0.0000, 0.5000)  2 Ir 2.41
Cu (0.5000, 0.5000, 0.0000)  2 Ir 2.41
Ir (0.5000, 0.5000, 0.5000)  6 Cu 2.41